First-principles (GGA-PBE) data for crystalline AlReCl at its relaxed geometry, as listed in Alexandria via LeMat-Bulk.

The structure in POSCAR format:
```
AlReCl
1.0
-7.188 -4.034 0.795
-6.285 -4.619 -1.908
0.461 -1.965 2.095
Re Al Cl
1 1 1
Direct
0.623 0.623 0.377
0.995 0.995 0.005
0.382 0.382 0.618
```

Values from the calculation:
DOS at the Fermi energy	2.95	states/eV per cell
symmetry	No. 42
formation energy (no corrections)	0.271	eV/atom
E above lowest polymorph	191.2	meV per atom
final energy	-0.2110	hartree per atom